# 1
Here is an optimized crystal structure of YMg6ZnO8 from the Alexandria database. Energies are from PBE.

Cell lengths 4.424, 4.424, 9.023 Å; angles 90.00, 90.00, 90.00 degrees
Space group P4/mmm (No. 123)
Asymmetric unit:
Y (0.000, 0.000, 0.000)
Mg (0.000, 0.000, 0.500)
Mg (0.000, 0.500, 0.268)
Mg (0.500, 0.500, 0.500)
Zn (0.500, 0.500, 0.000)
O (0.000, 0.000, 0.260)
O (0.000, 0.500, 0.000)
O (0.000, 0.500, 0.500)
O (0.500, 0.500, 0.273)

Computed properties:
Theoretical density   4.0 g/cm³
Fermi-level density of states   1.56 states/eV per cell
Formation energy (no corrections)   -39.2 eV/f.u.
Magnetization   0.00 μB/cell
Relative energy among the computed polymorphs   0 meV/atom



# 2
Here is an optimized crystal structure of NaGaAsO4 from the Alexandria database. Energies are from PBE.

Cell lengths 6.314, 9.460, 6.570 Å; angles 90.00, 90.00, 90.00 degrees
Space group Cmcm (No. 63)
Asymmetric unit:
Na (0.000, 0.000, 0.000)
Ga (0.000, 0.363, 0.250)
As (0.000, 0.347, 0.750)
O (0.000, 0.262, 0.007)
O (0.204, 0.482, 0.750)

Computed properties:
Theoretical density   3.9 g/cm³
Fermi-level density of states   2.10 states/eV per cell
Formation energy (no corrections)   -10.0 eV/f.u.
Magnetization   0.00 μB/cell



# 3
Here is an optimized crystal structure of ZnHgTe2 from the Alexandria database. Energies are from PBE.

Cell lengths 11.671, 13.467, 14.232 Å; angles 90.00, 97.52, 90.00 degrees
Space group C2/c (No. 15)
Asymmetric unit:
Zn (0.113, 0.173, 0.136)
Zn (0.142, 0.372, 0.338)
Hg (0.066, 0.386, 0.943)
Hg (0.161, 0.072, 0.856)
Te (0.000, 0.059, 0.250)
Te (0.000, 0.494, 0.750)
Te (0.065, 0.257, 0.471)
Te (0.219, 0.023, 0.048)
Te (0.219, 0.235, 0.754)

Computed properties:
Theoretical density   6.2 g/cm³
Fermi-level density of states   0.00 states/eV per cell
Formation energy (no corrections)   -0.9 eV/f.u.
Magnetization   0.00 μB/cell



# 4
Here is an optimized crystal structure of Li10CaZn3 from the Alexandria database. Energies are from PBE.

Cell lengths 13.399, 13.399, 13.399 Å; angles 90.00, 90.00, 90.00 degrees
Space group Fm-3m (No. 225)
Asymmetric unit:
Li (0.000, 0.173, 0.173)
Li (0.111, 0.111, 0.389)
Ca (0.250, 0.250, 0.250)
Zn (0.000, 0.000, 0.269)

Computed properties:
Theoretical density   1.7 g/cm³
Fermi-level density of states   32.95 states/eV per cell
Energy of formation from the pure elements   0.01 eV per atom
Magnetization   0.00 μB/cell



# 5
Here is an optimized crystal structure of PrEr4In5 from the Alexandria database. Energies are from PBE.

Cell lengths 3.752, 3.752, 18.974 Å; angles 90.00, 90.00, 90.00 degrees
Space group P4/mmm (No. 123)
Asymmetric unit:
Pr (0.000, 0.000, 0.000)
Er (0.000, 0.000, 0.208)
Er (0.000, 0.000, 0.403)
In (0.500, 0.500, 0.111)
In (0.500, 0.500, 0.305)
In (0.500, 0.500, 0.500)

Computed properties:
Theoretical density   8.6 g/cm³
Fermi-level density of states   5.45 states/eV per cell
Energy of formation from the pure elements   -0.45 eV per atom
Magnetization   0.00 μB/cell



# 6
Here is an optimized crystal structure of CsNbSb2I from the Alexandria database. Energies are from PBE.

Cell lengths 5.394, 5.394, 6.250 Å; angles 90.00, 90.00, 90.00 degrees
Space group P4/mmm (No. 123)
Asymmetric unit:
Cs (0.000, 0.000, 0.000)
Nb (0.500, 0.500, 0.500)
Sb (0.000, 0.500, 0.500)
I (0.500, 0.500, 0.000)

Computed properties:
Theoretical density   5.4 g/cm³
Fermi-level density of states   2.68 states/eV per cell
Formation energy (no corrections)   -1.1 eV/f.u.
Magnetization   0.00 μB/cell
Relative energy among the computed polymorphs   0 meV/atom



# 7
Here is an optimized crystal structure of POs2W2 from the Alexandria database. Energies are from PBE.

Cell lengths 7.548, 7.548, 2.883 Å; angles 90.00, 90.00, 90.00 degrees
Space group P4/mbm (No. 127)
Asymmetric unit:
P (0.000, 0.000, 0.000)
Os (0.135, 0.365, 0.500)
W (0.156, 0.656, 0.000)

Computed properties:
Theoretical density   15.8 g/cm³
Fermi-level density of states   9.35 states/eV per cell
Energy of formation from the pure elements   0.46 eV per atom
Magnetization   0.00 μB/cell
Relative energy among the computed polymorphs   0 meV/atom



# 8
Here is an optimized crystal structure of Tl3HgSb from the Alexandria database. Energies are from PBE.

Cell lengths 7.194, 10.309, 8.595 Å; angles 90.00, 90.00, 90.00 degrees
Space group Pnma (No. 62)
Asymmetric unit:
Tl (0.096, 0.075, 0.147)
Tl (0.217, 0.750, 0.328)
Hg (0.236, 0.250, 0.447)
Sb (0.000, 0.000, 0.500)

Computed properties:
Theoretical density   9.7 g/cm³
Fermi-level density of states   5.73 states/eV per cell
Formation energy (no corrections)   0.1 eV/f.u.
Magnetization   0.00 μB/cell
Relative energy among the computed polymorphs   31 meV/atom



# 9
Here is an optimized crystal structure of Cs5TbO4 from the Alexandria database. Energies are from PBE.

Cell lengths 19.408, 3.803, 8.053 Å; angles 90.00, 101.97, 90.00 degrees
Space group C2/m (No. 12)
Asymmetric unit:
Cs (0.000, 0.000, 0.000)
Cs (0.148, 0.500, 0.805)
Cs (0.150, 0.500, 0.342)
Tb (0.000, 0.000, 0.500)
O (0.001, 0.500, 0.694)
O (0.122, 0.000, 0.560)

Computed properties:
Theoretical density   5.1 g/cm³
Formation energy (no corrections)   -15.8 eV/f.u.
Magnetization   0.19 μB/cell
Relative energy among the computed polymorphs   48 meV/atom



# 10
Here is an optimized crystal structure of Sm2ErPd from the Alexandria database. Energies are from PBE.

Cell lengths 3.7637, 3.7637, 28.8773 Å; angles 90.00, 90.00, 120.00 degrees
Space group R3m (No. 160, hexagonal axes)
Asymmetric unit:
Sm (0.0000, 0.0000, 0.0000)
Sm (0.0000, 0.0000, 0.1990)
Er (0.0000, 0.0000, 0.4329)
Pd (0.0000, 0.0000, 0.5997)

Computed properties:
Theoretical density   8.1 g/cm³
Fermi-level density of states   15.01 states/eV per cell
Energy of formation from the pure elements   -0.25 eV per atom
Magnetization   0.38 μB/cell
Relative energy among the computed polymorphs   193 meV/atom



# 11
Here is an optimized crystal structure of V2CdCu from the Alexandria database. Energies are from PBE.

Cell lengths 7.186, 7.186, 4.952 Å; angles 90.00, 90.00, 90.00 degrees
Space group I-42d (No. 122)
Asymmetric unit:
V (0.224, 0.750, 0.125)
Cd (0.000, 0.000, 0.500)
Cu (0.000, 0.000, 0.000)

Computed properties:
Theoretical density   7.2 g/cm³
Fermi-level density of states   19.54 states/eV per cell
Energy of formation from the pure elements   0.72 eV per atom
Magnetization   0.00 μB/cell



# 12
Here is an optimized crystal structure of Ho6Er2Sc3In from the Alexandria database. Energies are from PBE.

Cell lengths 5.944, 10.295, 11.293 Å; angles 90.00, 100.11, 90.00 degrees
Space group C2/m (No. 12)
Asymmetric unit:
Ho (0.245, 0.000, 0.243)
Ho (0.249, 0.335, 0.244)
Er (0.000, 0.334, 0.500)
Sc (0.000, 0.166, 0.000)
Sc (0.000, 0.500, 0.000)
In (0.000, 0.000, 0.500)

Computed properties:
Theoretical density   7.7 g/cm³
Fermi-level density of states   28.95 states/eV per cell
Energy of formation from the pure elements   -0.03 eV per atom
Magnetization   0.00 μB/cell



# 13
Here is an optimized crystal structure of NaNdGdPb from the Alexandria database. Energies are from PBE.

Cell lengths 7.810, 7.810, 7.810 Å; angles 90.00, 90.00, 90.00 degrees
Space group F-43m (No. 216)
Asymmetric unit:
Na (0.000, 0.000, 0.000)
Nd (0.250, 0.250, 0.750)
Gd (0.250, 0.250, 0.250)
Pb (0.000, 0.000, 0.500)

Computed properties:
Theoretical density   7.4 g/cm³
Fermi-level density of states   25.90 states/eV per cell
Energy of formation from the pure elements   -0.20 eV per atom
Magnetization   31.86 μB/cell



# 14
Here is an optimized crystal structure of Eu2ScAg from the Alexandria database. Energies are from PBE.

Cell lengths 3.4239, 3.4239, 34.5455 Å; angles 90.00, 90.00, 120.00 degrees
Space group R-3m (No. 166, hexagonal axes)
Asymmetric unit:
Eu (0.0000, 0.0000, 0.0923)
Sc (0.0000, 0.0000, 0.0000)
Ag (0.0000, 0.0000, 0.5000)

Computed properties:
Theoretical density   6.5 g/cm³
Fermi-level density of states   14.98 states/eV per cell
Energy of formation from the pure elements   0.26 eV per atom
Magnetization   44.57 μB/cell
Relative energy among the computed polymorphs   267 meV/atom



# 15
Here is an optimized crystal structure of MgTlSi from the Alexandria database. Energies are from PBE.

Cell lengths 4.6486, 4.6486, 3.8563 Å; angles 90.00, 90.00, 120.00 degrees
Space group P3m1 (No. 156)
Asymmetric unit:
Mg (0.0000, 0.0000, 0.0000)
Tl (0.6667, 0.3333, 0.5060)
Si (0.3333, 0.6667, 0.0159)

Computed properties:
Theoretical density   5.9 g/cm³
Fermi-level density of states   0.96 states/eV per cell
Formation energy (no corrections)   0.8 eV/f.u.
Magnetization   0.00 μB/cell
Relative energy among the computed polymorphs   173 meV/atom



# 16
Here is an optimized crystal structure of TiNiPd5 from the Alexandria database. Energies are from PBE.

Cell lengths 9.053, 5.830, 9.080 Å; angles 90.00, 110.85, 90.00 degrees
Space group C2/c (No. 15)
Asymmetric unit:
Ti (0.000, 0.097, 0.250)
Ni (0.250, 0.250, 0.000)
Pd (0.000, 0.323, 0.750)
Pd (0.095, 0.332, 0.481)
Pd (0.247, 0.423, 0.264)

Computed properties:
Theoretical density   9.5 g/cm³
Fermi-level density of states   24.02 states/eV per cell
Energy of formation from the pure elements   -0.12 eV per atom
Magnetization   1.88 μB/cell



# 17
Here is an optimized crystal structure of AcLaP2 from the Alexandria database. Energies are from PBE.

Cell lengths 5.244, 5.244, 3.704 Å; angles 90.00, 90.00, 90.00 degrees
Space group P4/mmm (No. 123)
Asymmetric unit:
Ac (0.000, 0.000, 0.000)
La (0.500, 0.500, 0.000)
P (0.000, 0.500, 0.500)

Computed properties:
Theoretical density   7.0 g/cm³
Fermi-level density of states   1.34 states/eV per cell
Energy of formation from the pure elements   -1.14 eV per atom
Magnetization   0.00 μB/cell
Relative energy among the computed polymorphs   375 meV/atom



# 18
Here is an optimized crystal structure of YbAl3B4O12 from the Alexandria database. Energies are from PBE.

Cell lengths 9.3577, 9.3577, 7.3481 Å; angles 90.00, 90.00, 120.00 degrees
Space group R32 (No. 155, hexagonal axes)
Asymmetric unit:
Yb (0.0000, 0.0000, 0.0000)
Al (0.0000, 0.5559, 0.0000)
B (0.0000, 0.0000, 0.5000)
B (0.0000, 0.4427, 0.5000)
O (0.0000, 0.5914, 0.5000)
O (0.0000, 0.8516, 0.5000)
O (0.0334, 0.2182, 0.1898)

Computed properties:
Theoretical density   4.4 g/cm³
Fermi-level density of states   63.68 states/eV per cell
Formation energy (no corrections)   -54.5 eV/f.u.
Magnetization   3.07 μB/cell



# 19
Here is an optimized crystal structure of PuGeRh2 from the Alexandria database. Energies are from PBE.

Cell lengths 3.058, 3.058, 7.254 Å; angles 90.00, 90.00, 90.00 degrees
Space group P4/mmm (No. 123)
Asymmetric unit:
Pu (0.000, 0.000, 0.000)
Ge (0.000, 0.000, 0.500)
Rh (0.500, 0.500, 0.301)

Computed properties:
Theoretical density   12.8 g/cm³
Fermi-level density of states   8.17 states/eV per cell
Energy of formation from the pure elements   -0.41 eV per atom
Magnetization   5.31 μB/cell



# 20
Here is an optimized crystal structure of RhN2 from the Alexandria database. Energies are from PBE.

Cell lengths 4.087, 4.914, 2.833 Å; angles 90.00, 90.00, 90.00 degrees
Space group Pnnm (No. 58)
Asymmetric unit:
Rh (0.000, 0.000, 0.000)
N (0.121, 0.415, 0.000)

Computed properties:
Theoretical density   7.6 g/cm³
Fermi-level density of states   3.79 states/eV per cell
Formation energy (no corrections)   1.1 eV/f.u.
Magnetization   0.00 μB/cell



# 21
Here is an optimized crystal structure of Ce3ErIn4 from the Alexandria database. Energies are from PBE.

Cell lengths 3.406, 3.406, 18.595 Å; angles 90.00, 90.00, 90.00 degrees
Space group P4/mmm (No. 123)
Asymmetric unit:
Ce (0.000, 0.000, 0.000)
Ce (0.000, 0.000, 0.254)
Er (0.000, 0.000, 0.500)
In (0.500, 0.500, 0.127)
In (0.500, 0.500, 0.381)

Computed properties:
Theoretical density   8.1 g/cm³
Fermi-level density of states   18.41 states/eV per cell
Energy of formation from the pure elements   -0.38 eV per atom
Magnetization   3.57 μB/cell